w:
First-principles (GGA-PBE) data for a relaxed LaMo3N crystal, as listed in Alexandria via LeMat-Bulk.

Cell: 4.344 4.344 4.344 Å, 90.00 90.00 90.00°
Space group Pm-3m (No. 221)
Asymmetric unit:
La (0.000, 0.000, 0.000) x1
Mo (0.000, 0.500, 0.500) x3
N (0.500, 0.500, 0.500) x1

## Properties
* magnetic moment: 0.000 μB/atom

x:
First-principles (GGA-PBE) data for a relaxed LaMo3N crystal, as listed in Alexandria via LeMat-Bulk.

Cell: 4.767 4.767 4.767 Å, 90.00 90.00 90.00°
Space group Pm-3m (No. 221)
Asymmetric unit:
La (0.000, 0.000, 0.000) x1
Mo (0.000, 0.000, 0.500) x3
N (0.500, 0.500, 0.500) x1

## Properties
* magnetic moment: 0.122 μB/atom

Least stable of them? x.